# AlCo2Ru

AlCo2Ru after structural relaxation (PBE, Alexandria via LeMat-Bulk).

magnetization: 0.8868 μB/atom
E_tot: -6.9777 eV per atom
space group: C2/m, No. 12
theoretical density: 8217 kg/m3
ΔH_f (0 K): -0.68 eV/f.u.

abc: 4.8778 4.8778 4.0791
angles: 65.37 65.37 34.69
Closest atoms and distances in Å follow each position.
Sites, in units of the cell vectors:
Al1 0.2500 0.2500 0.2500  4 Ru 2.50, 4 Co 2.52
Ru1 0.7500 0.7500 0.7500  4 Al 2.50, 4 Co 2.58
Co1 0.9962 0.9962 0.0037  4 Co 2.51, 2 Al 2.52, 2 Ru 2.58
Co2 0.5038 0.5038 0.4963  4 Co 2.51, 2 Al 2.52, 2 Ru 2.58